CrPt5 meta-GGA SCAN PBEsol geometry; ΔE_f = -165 meV/atom; symmetry = No. 123; electronic total energy = -61.72 eV per atom
1.0
2.704 0.000 0.000
0.000 2.704 0.000
0.000 0.000 11.750
Cr Pt
1 5
direct
0.000 0.000 0.000
0.000 0.000 0.328
0.000 0.000 0.672
0.500 0.500 0.150
0.500 0.500 0.500
0.500 0.500 0.850

---

Na6V2AsC4O16 meta-GGA SCAN PBEsol geometry; symmetry = No. 203; formation energy from raw total energies = -54.2 eV/f.u.; electronic total energy = -9.47 eV per atom
1.0
0.000 6.972 6.972
6.972 0.000 6.972
6.972 6.972 0.000
Na V As C O
12 4 2 8 32
direct
0.084 0.084 0.666
0.084 0.666 0.084
0.084 0.666 0.666
0.334 0.334 0.916
0.334 0.916 0.334
0.334 0.916 0.916
0.666 0.084 0.084
0.666 0.084 0.666
0.666 0.666 0.084
0.916 0.334 0.334
0.916 0.334 0.916
0.916 0.916 0.334
0.000 0.500 0.500
0.500 0.000 0.500
0.500 0.500 0.000
0.500 0.500 0.500
0.125 0.125 0.125
0.875 0.875 0.875
0.286 0.286 0.286
0.286 0.286 0.642
0.286 0.642 0.286
0.358 0.714 0.714
0.642 0.286 0.286
0.714 0.358 0.714
0.714 0.714 0.358
0.714 0.714 0.714
0.054 0.054 0.054
0.054 0.054 0.338
0.054 0.338 0.054
0.143 0.311 0.643
0.143 0.402 0.311
0.143 0.643 0.402
0.311 0.143 0.402
0.311 0.402 0.643
0.311 0.643 0.143
0.338 0.054 0.054
0.357 0.598 0.857
0.357 0.689 0.598
0.357 0.857 0.689
0.402 0.143 0.643
0.402 0.311 0.143
0.402 0.643 0.311
0.598 0.357 0.689
0.598 0.689 0.857
0.598 0.857 0.357
0.643 0.143 0.311
0.643 0.311 0.402
0.643 0.402 0.143
0.662 0.946 0.946
0.689 0.357 0.857
0.689 0.598 0.357
0.689 0.857 0.598
0.857 0.357 0.598
0.857 0.598 0.689
0.857 0.689 0.357
0.946 0.662 0.946
0.946 0.946 0.662
0.946 0.946 0.946

---

BaF2 meta-GGA SCAN PBEsol geometry; energy relative to the lowest polymorph listed for this composition = 0.0 meV/atom; symmetry = No. 225; formation energy from raw total energies = -12.3 eV/f.u.; electronic total energy = -19.64 eV per atom
1.0
0.000 3.085 3.085
3.085 0.000 3.085
3.085 3.085 0.000
Ba F
1 2
direct
0.000 0.000 0.000
0.250 0.250 0.250
0.750 0.750 0.750